[1]
Here is AlHg3O2F6 after structural relaxation from Alexandria. Energies are from GGA-PBEsol.

a = 7.2002 Å, b = 7.2002 Å, c = 10.5914 Å
α = 90.00°, β = 90.00°, γ = 120.00°
Space group R-3m (No. 166, hexagonal axes)
One atom of each set of equivalent atoms:
Al1 0.0000 0.0000 0.0000 x3
Hg1 0.0000 0.5000 0.0000 x9
O1 0.0000 0.0000 0.3518 x6
F1 0.0932 0.5466 0.7642 x18

Calculated values
The total magnetization is 0.0789 μB/atom. For the energy relative to the elements, uncorrected, the calculation gives -1753 meV per atom.


[2]
Here is AlHgSF2 after structural relaxation from Alexandria. Energies are from GGA-PBEsol.

a = 4.060 Å, b = 4.060 Å, c = 5.049 Å
α = 90.00°, β = 90.00°, γ = 90.00°
Space group P4/mmm (No. 123)
One atom of each set of equivalent atoms:
Al1 0.000 0.000 0.000 x1
Hg1 0.500 0.500 0.000 x1
S1 0.000 0.000 0.500 x1
F1 0.000 0.500 0.500 x2

Calculated values
The total magnetization is 0.0000 μB/atom. For the energy relative to the elements, uncorrected, the calculation gives -545 meV per atom.


[3]
Here is TiAl2HgF after structural relaxation from Alexandria. Energies are from GGA-PBEsol.

a = 4.383 Å, b = 4.383 Å, c = 4.243 Å
α = 90.00°, β = 90.00°, γ = 90.00°
Space group P4/mmm (No. 123)
One atom of each set of equivalent atoms:
Ti1 0.000 0.000 0.000 x1
Al1 0.000 0.500 0.500 x2
Hg1 0.500 0.500 0.000 x1
F1 0.000 0.000 0.500 x1

Calculated values
The total magnetization is 0.1919 μB/atom. For the energy relative to the elements, uncorrected, the calculation gives -347 meV per atom.


[4]
Here is AlSbI2F after structural relaxation from Alexandria. Energies are from GGA-PBEsol.

a = 5.326 Å, b = 5.326 Å, c = 5.276 Å
α = 90.00°, β = 90.00°, γ = 90.00°
Space group P4/mmm (No. 123)
One atom of each set of equivalent atoms:
Al1 0.000 0.000 0.000 x1
Sb1 0.000 0.000 0.500 x1
I1 0.000 0.500 0.000 x2
F1 0.500 0.500 0.500 x1

Calculated values
The total magnetization is 0.0002 μB/atom. For the energy relative to the elements, uncorrected, the calculation gives 8 meV per atom.


[5]
Here is Rb2AlInF6 after structural relaxation from Alexandria. Energies are from GGA-PBEsol.

a = 8.792 Å, b = 8.792 Å, c = 8.792 Å
α = 90.00°, β = 90.00°, γ = 90.00°
Space group Fm-3m (No. 225)
One atom of each set of equivalent atoms:
Rb1 0.250 0.250 0.250 x8
Al1 0.000 0.000 0.000 x4
In1 0.000 0.000 0.500 x4
F1 0.000 0.000 0.208 x24

Calculated values
The total magnetization is 0.0000 μB/atom. For the energy relative to the elements, uncorrected, the calculation gives -2907 meV per atom.


[6]
Here is K2AlIrF after structural relaxation from Alexandria. Energies are from GGA-PBEsol.

a = 6.352 Å, b = 6.352 Å, c = 3.884 Å
α = 90.00°, β = 90.00°, γ = 90.00°
Space group P4/mmm (No. 123)
One atom of each set of equivalent atoms:
K1 0.000 0.500 0.000 x2
Al1 0.000 0.000 0.500 x1
Ir1 0.500 0.500 0.000 x1
F1 0.500 0.500 0.500 x1

Calculated values
The total magnetization is 0.1589 μB/atom. For the energy relative to the elements, uncorrected, the calculation gives 437 meV per atom.